Entry 1:
This record from the Alexandria database describes an optimized crystal structure of Sr2ReAu. The functional is PBE.

```
data_Sr2ReAu
_cell_length_a 6.175
_cell_length_b 6.175
_cell_length_c 5.670
_cell_angle_alpha 72.93
_cell_angle_beta 72.93
_cell_angle_gamma 29.73
_space_group_name_H-M_alt 'P 1'
_space_group_IT_number 1
_space_group_name_Hall 'P 1'
loop_
_atom_site_label
_atom_site_fract_x
_atom_site_fract_y
_atom_site_fract_z
Sr1 0.778 0.778 0.687
Re1 0.213 0.213 0.221
Au1 0.538 0.538 0.525
Sr2 0.971 0.971 0.067
```

Computed properties:
Total magnetization in μB/f.u.: 0.000
Space group: Cm
E above lowest polymorph in eV per formula unit: 0.55
Crystal system: monoclinic
ΔH_f (0 K) in eV per atom: 0.452


Entry 2:
This record from the Alexandria database describes an optimized crystal structure of SrReAu. The functional is PBE.

```
data_SrReAu
_cell_length_a 6.107
_cell_length_b 6.107
_cell_length_c 6.107
_cell_angle_alpha 151.96
_cell_angle_beta 139.93
_cell_angle_gamma 49.62
_space_group_name_H-M_alt 'P 1'
_space_group_IT_number 1
_space_group_name_Hall 'P 1'
loop_
_atom_site_label
_atom_site_fract_x
_atom_site_fract_y
_atom_site_fract_z
Sr1 0.666 0.666 0.000
Au1 0.955 0.955 0.000
Re1 0.379 0.379 0.000
```

Computed properties:
Total magnetization in μB/f.u.: 0.000
Space group: Imm2
E above lowest polymorph in eV per formula unit: 0.00
Crystal system: orthorhombic
ΔH_f (0 K) in eV per atom: 0.631


Entry 3:
This record from the Alexandria database describes an optimized crystal structure of Sr2ReAu. The functional is PBE.

```
data_Sr2ReAu
_cell_length_a 6.002
_cell_length_b 6.002
_cell_length_c 6.002
_cell_angle_alpha 135.64
_cell_angle_beta 135.64
_cell_angle_gamma 64.54
_space_group_name_H-M_alt 'P 1'
_space_group_IT_number 1
_space_group_name_Hall 'P 1'
loop_
_atom_site_label
_atom_site_fract_x
_atom_site_fract_y
_atom_site_fract_z
Sr1 0.000 0.000 0.000
Re1 0.750 0.250 0.500
Au1 0.500 0.500 0.000
Sr2 0.250 0.750 0.500
```

Computed properties:
Total magnetization in μB/f.u.: 2.117
Space group: I-4m2
E above lowest polymorph in eV per formula unit: 1.52
Crystal system: tetragonal
ΔH_f (0 K) in eV per atom: 0.695


Entry 4:
This record from the Alexandria database describes an optimized crystal structure of SrReAu2. The functional is PBE.

```
data_SrReAu2
_cell_length_a 6.042
_cell_length_b 6.042
_cell_length_c 6.042
_cell_angle_alpha 150.48
_cell_angle_beta 130.37
_cell_angle_gamma 58.81
_space_group_name_H-M_alt 'P 1'
_space_group_IT_number 1
_space_group_name_Hall 'P 1'
loop_
_atom_site_label
_atom_site_fract_x
_atom_site_fract_y
_atom_site_fract_z
Au1 0.980 0.980 0.000
Re1 0.525 0.525 0.000
Sr1 0.253 0.753 0.500
Au2 0.742 0.242 0.500
```

Computed properties:
Total magnetization in μB/f.u.: 0.479
Space group: Imm2
E above lowest polymorph in eV per formula unit: 0.58
Crystal system: orthorhombic
ΔH_f (0 K) in eV per atom: 0.486


What did the second record say?
This record from the Alexandria database describes an optimized crystal structure of SrReAu. The functional is PBE.

```
data_SrReAu
_cell_length_a 6.107
_cell_length_b 6.107
_cell_length_c 6.107
_cell_angle_alpha 151.96
_cell_angle_beta 139.93
_cell_angle_gamma 49.62
_space_group_name_H-M_alt 'P 1'
_space_group_IT_number 1
_space_group_name_Hall 'P 1'
loop_
_atom_site_label
_atom_site_fract_x
_atom_site_fract_y
_atom_site_fract_z
Sr1 0.666 0.666 0.000
Au1 0.955 0.955 0.000
Re1 0.379 0.379 0.000
```

Computed properties:
Total magnetization in μB/f.u.: 0.000
Space group: Imm2
E above lowest polymorph in eV per formula unit: 0.00
Crystal system: orthorhombic
ΔH_f (0 K) in eV per atom: 0.631